[1]
Li8HgPt2: optimized geometry, PBE.

abc: 7.262 7.262 6.247
angles: 107.00 107.00 33.06
Element x y z (fractional)
Li 0.052 0.052 0.235
Li 0.150 0.150 0.716
Li 0.311 0.311 0.585
Li 0.388 0.388 0.029
Li 0.612 0.612 0.971
Li 0.689 0.689 0.415
Li 0.850 0.850 0.284
Li 0.948 0.948 0.765
Hg 0.500 0.500 0.500
Pt 0.224 0.224 0.151
Pt 0.776 0.776 0.849

Output
DFT formation energy: -0.37 eV/atom
total energy: -2.89 eV per atom
energy relative to the lowest polymorph listed for this composition: 0.0000 eV/atom
M_tot: 0.00 μB/cell



[2]
LiHg2Pt: optimized geometry, PBE.

abc: 4.761 3.152 5.377
angles: 90.00 112.13 90.00
Element x y z (fractional)
Li 0.000 0.000 0.000
Hg 0.500 0.000 0.500
Hg 0.500 0.500 0.000
Pt 0.000 0.500 0.500

Output
DFT formation energy: -0.18 eV/atom
total energy: -2.32 eV per atom
energy relative to the lowest polymorph listed for this composition: 0.0935 eV/atom
M_tot: 0.00 μB/cell



[3]
LiHg2Pt: optimized geometry, PBE.

abc: 9.946 9.946 9.946
angles: 155.72 155.72 34.60
Element x y z (fractional)
Li 0.000 0.000 0.000
Li 0.750 0.250 0.500
Hg 0.129 0.625 0.004
Hg 0.375 0.379 0.504
Hg 0.621 0.125 0.996
Hg 0.875 0.871 0.496
Pt 0.250 0.750 0.500
Pt 0.500 0.500 0.000

Output
DFT formation energy: -0.03 eV/atom
total energy: -2.17 eV per atom
energy relative to the lowest polymorph listed for this composition: 0.2430 eV/atom
M_tot: 0.00 μB/cell



[4]
LiHg2Pt2: optimized geometry, PBE.

abc: 6.860 6.860 4.009
angles: 90.00 90.00 90.00
Element x y z (fractional)
Li 0.000 0.000 0.000
Li 0.500 0.500 0.000
Hg 0.170 0.330 0.500
Hg 0.330 0.830 0.500
Hg 0.670 0.170 0.500
Hg 0.830 0.670 0.500
Pt 0.136 0.636 0.000
Pt 0.364 0.136 0.000
Pt 0.636 0.864 0.000
Pt 0.864 0.364 0.000

Output
DFT formation energy: -0.18 eV/atom
total energy: -3.10 eV per atom
energy relative to the lowest polymorph listed for this composition: 0.0000 eV/atom
M_tot: 0.00 μB/cell



[5]
Li7Hg3Pt: optimized geometry, PBE.

abc: 10.840 10.840 12.342
angles: 90.00 90.00 164.02
Element x y z (fractional)
Li 0.047 0.953 0.590
Li 0.047 0.953 0.910
Li 0.070 0.930 0.144
Li 0.070 0.930 0.356
Li 0.130 0.870 0.750
Li 0.241 0.759 0.115
Li 0.241 0.759 0.385
Li 0.759 0.241 0.615
Li 0.759 0.241 0.885
Li 0.870 0.130 0.250
Li 0.930 0.070 0.644
Li 0.930 0.070 0.856
Li 0.953 0.047 0.090
Li 0.953 0.047 0.410
Hg 0.335 0.665 0.750
Hg 0.353 0.647 0.013
Hg 0.353 0.647 0.487
Hg 0.647 0.353 0.513
Hg 0.647 0.353 0.987
Hg 0.665 0.335 0.250
Pt 0.485 0.515 0.250
Pt 0.515 0.485 0.750

Output
DFT formation energy: -0.31 eV/atom
total energy: -2.16 eV per atom
M_tot: 0.00 μB/cell



[6]
LiHgPt: optimized geometry, PBE.

abc: 4.457 4.457 4.457
angles: 60.00 60.00 60.00
Element x y z (fractional)
Li 0.000 0.000 0.000
Hg 0.500 0.500 0.500
Pt 0.250 0.250 0.250

Output
DFT formation energy: -0.17 eV/atom
total energy: -2.92 eV per atom
energy relative to the lowest polymorph listed for this composition: 0.1701 eV/atom
M_tot: 0.00 μB/cell



[7]
LiHg2Pt: optimized geometry, PBE.

abc: 4.699 4.699 4.699
angles: 60.00 60.00 60.00
Element x y z (fractional)
Li 0.000 0.000 0.000
Hg 0.500 0.500 0.500
Hg 0.750 0.750 0.750
Pt 0.250 0.250 0.250

Output
DFT formation energy: -0.14 eV/atom
total energy: -2.28 eV per atom
energy relative to the lowest polymorph listed for this composition: 0.1317 eV/atom
M_tot: 0.00 μB/cell



[8]
Li8HgPt2: optimized geometry, PBE.

abc: 6.736 6.736 4.240
angles: 90.00 90.00 107.11
Element x y z (fractional)
Li 0.154 0.154 0.000
Li 0.181 0.467 0.500
Li 0.241 0.759 0.000
Li 0.467 0.181 0.500
Li 0.533 0.819 0.500
Li 0.759 0.241 0.000
Li 0.819 0.533 0.500
Li 0.846 0.846 0.000
Hg 0.500 0.500 0.000
Pt 0.122 0.878 0.500
Pt 0.878 0.122 0.500

Output
DFT formation energy: -0.36 eV/atom
total energy: -2.88 eV per atom
energy relative to the lowest polymorph listed for this composition: 0.0131 eV/atom
M_tot: 0.00 μB/cell



[9]
Li4Hg3Pt: optimized geometry, PBE.

abc: 3.268 3.268 12.635
angles: 90.00 90.00 90.00
Element x y z (fractional)
Li 0.000 0.000 0.102
Li 0.000 0.000 0.367
Li 0.000 0.000 0.633
Li 0.000 0.000 0.898
Hg 0.500 0.500 0.232
Hg 0.500 0.500 0.500
Hg 0.500 0.500 0.768
Pt 0.500 0.500 0.000

Output
DFT formation energy: -0.40 eV/atom
total energy: -2.23 eV per atom
M_tot: 0.00 μB/cell



[10]
LiHg2Pt: optimized geometry, PBE.

abc: 4.682 4.682 4.682
angles: 60.00 60.00 60.00
Element x y z (fractional)
Li 0.000 0.000 0.000
Hg 0.250 0.250 0.250
Hg 0.750 0.750 0.750
Pt 0.500 0.500 0.500

Output
DFT formation energy: -0.27 eV/atom
total energy: -2.41 eV per atom
energy relative to the lowest polymorph listed for this composition: 0.0000 eV/atom
M_tot: 0.00 μB/cell



[11]
Li6HgPt2: optimized geometry, PBE.

abc: 7.547 7.547 2.702
angles: 90.00 90.00 120.00
Element x y z (fractional)
Li 0.000 0.345 0.000
Li 0.000 0.655 0.000
Li 0.345 0.000 0.000
Li 0.345 0.345 0.000
Li 0.655 0.000 0.000
Li 0.655 0.655 0.000
Hg 0.000 0.000 0.500
Pt 0.333 0.667 0.500
Pt 0.667 0.333 0.500

Output
DFT formation energy: -0.42 eV/atom
total energy: -3.08 eV per atom
energy relative to the lowest polymorph listed for this composition: 0.0058 eV/atom
M_tot: 0.00 μB/cell



[12]
Li6Hg12Pt: optimized geometry, PBE.

abc: 7.343 7.343 7.343
angles: 91.55 91.55 91.55
Element x y z (fractional)
Li 0.223 0.755 0.392
Li 0.245 0.608 0.777
Li 0.392 0.223 0.755
Li 0.608 0.777 0.245
Li 0.755 0.392 0.223
Li 0.777 0.245 0.608
Hg 0.052 0.300 0.931
Hg 0.069 0.948 0.700
Hg 0.138 0.355 0.490
Hg 0.300 0.931 0.052
Hg 0.355 0.490 0.138
Hg 0.490 0.138 0.355
Hg 0.510 0.862 0.645
Hg 0.645 0.510 0.862
Hg 0.700 0.069 0.948
Hg 0.862 0.645 0.510
Hg 0.931 0.052 0.300
Hg 0.948 0.700 0.069
Pt 0.500 0.500 0.500

Output
DFT formation energy: -0.25 eV/atom
total energy: -1.36 eV per atom
M_tot: 0.00 μB/cell



[13]
LiHg2Pt: optimized geometry, PBE.

abc: 3.111 3.111 7.664
angles: 90.00 90.00 90.00
Element x y z (fractional)
Li 0.000 0.000 0.000
Hg 0.000 0.000 0.432
Hg 0.500 0.500 0.764
Pt 0.500 0.500 0.184

Output
DFT formation energy: -0.18 eV/atom
total energy: -2.32 eV per atom
energy relative to the lowest polymorph listed for this composition: 0.0904 eV/atom
M_tot: 0.00 μB/cell



[14]
Li7HgPt3: optimized geometry, PBE.

abc: 10.864 10.864 12.176
angles: 90.00 90.00 165.49
Element x y z (fractional)
Li 0.064 0.936 0.627
Li 0.064 0.936 0.873
Li 0.104 0.896 0.095
Li 0.104 0.896 0.405
Li 0.191 0.809 0.750
Li 0.223 0.777 0.094
Li 0.223 0.777 0.406
Li 0.777 0.223 0.594
Li 0.777 0.223 0.906
Li 0.809 0.191 0.250
Li 0.896 0.104 0.595
Li 0.896 0.104 0.905
Li 0.936 0.064 0.127
Li 0.936 0.064 0.373
Hg 0.472 0.528 0.750
Hg 0.528 0.472 0.250
Pt 0.335 0.665 0.750
Pt 0.341 0.659 0.064
Pt 0.341 0.659 0.436
Pt 0.659 0.341 0.564
Pt 0.659 0.341 0.936
Pt 0.665 0.335 0.250

Output
DFT formation energy: -0.44 eV/atom
total energy: -3.33 eV per atom
M_tot: 0.00 μB/cell



[15]
LiHgPt: optimized geometry, PBE.

abc: 5.367 5.367 5.367
angles: 145.94 145.94 48.93
Element x y z (fractional)
Li 0.000 0.000 0.000
Hg 0.329 0.329 0.000
Pt 0.636 0.636 0.000

Output
DFT formation energy: -0.29 eV/atom
total energy: -3.04 eV per atom
energy relative to the lowest polymorph listed for this composition: 0.0528 eV/atom
M_tot: 0.00 μB/cell



[16]
LiHg2Pt: optimized geometry, PBE.

abc: 3.002 4.052 6.075
angles: 90.00 90.00 90.00
Element x y z (fractional)
Li 0.000 0.000 0.000
Hg 0.000 0.000 0.443
Hg 0.500 0.500 0.749
Pt 0.500 0.500 0.207

Output
DFT formation energy: -0.19 eV/atom
total energy: -2.33 eV per atom
energy relative to the lowest polymorph listed for this composition: 0.0816 eV/atom
M_tot: 0.00 μB/cell



[17]
RbLiHg2Pt: optimized geometry, PBE.

abc: 5.423 5.423 4.927
angles: 90.00 90.00 90.00
Element x y z (fractional)
Rb 0.000 0.000 0.000
Li 0.500 0.500 0.000
Hg 0.000 0.500 0.500
Hg 0.500 0.000 0.500
Pt 0.500 0.500 0.500

Output
DFT formation energy: -0.29 eV/atom
total energy: -2.20 eV per atom
M_tot: 0.00 μB/cell



[18]
LiHgPtRh: optimized geometry, PBE.

abc: 4.488 4.488 4.488
angles: 60.00 60.00 60.00
Element x y z (fractional)
Li 0.000 0.000 0.000
Hg 0.750 0.750 0.750
Pt 0.250 0.250 0.250
Rh 0.500 0.500 0.500

Output
DFT formation energy: -0.12 eV/atom
total energy: -4.03 eV per atom
M_tot: 0.00 μB/cell



[19]
LiHgSbPt: optimized geometry, PBE.

abc: 4.752 4.752 4.752
angles: 60.00 60.00 60.00
Element x y z (fractional)
Li 0.000 0.000 0.000
Hg 0.750 0.750 0.750
Sb 0.250 0.250 0.250
Pt 0.500 0.500 0.500

Output
total energy: -3.37 eV per atom
uncorrected formation energy: -0.271 eV/atom
M_tot: 0.00 μB/cell



[20]
LiSc2HgPt: optimized geometry, PBE.

abc: 5.060 5.060 5.280
angles: 90.00 90.00 90.00
Element x y z (fractional)
Li 0.000 0.000 0.000
Sc 0.000 0.500 0.500
Sc 0.500 0.000 0.500
Hg 0.500 0.500 0.000
Pt 0.500 0.500 0.500

Output
DFT formation energy: -0.15 eV/atom
total energy: -4.33 eV per atom
M_tot: 0.00 μB/cell



[21]
LiSmHgPt: optimized geometry, PBE.

abc: 4.932 4.932 4.932
angles: 60.00 60.00 60.00
Element x y z (fractional)
Li 0.000 0.000 0.000
Sm 0.500 0.500 0.500
Hg 0.250 0.250 0.250
Pt 0.750 0.750 0.750

Output
DFT formation energy: -0.60 eV/atom
total energy: -3.84 eV per atom
M_tot: 0.00 μB/cell



[22]
SrLiHgPt: optimized geometry, PBE.

abc: 5.981 5.981 5.981
angles: 44.66 44.66 44.66
Element x y z (fractional)
Sr 0.000 0.000 0.000
Li 0.479 0.479 0.479
Hg 0.204 0.204 0.204
Pt 0.790 0.790 0.790

Output
DFT formation energy: -0.58 eV/atom
total energy: -3.06 eV per atom
energy relative to the lowest polymorph listed for this composition: 0.0000 eV/atom
M_tot: 0.00 μB/cell



[23]
SrLi2HgPt: optimized geometry, PBE.

abc: 4.917 4.917 5.764
angles: 90.00 90.00 90.00
Element x y z (fractional)
Sr 0.000 0.000 0.000
Li 0.000 0.500 0.500
Li 0.500 0.000 0.500
Hg 0.500 0.500 0.000
Pt 0.000 0.000 0.500

Output
DFT formation energy: -0.29 eV/atom
total energy: -2.66 eV per atom
energy relative to the lowest polymorph listed for this composition: 0.0540 eV/atom
M_tot: 0.00 μB/cell



[24]
SrLi2HgPt: optimized geometry, PBE.

abc: 4.834 4.834 5.332
angles: 90.00 90.00 90.00
Element x y z (fractional)
Sr 0.000 0.000 0.000
Li 0.000 0.500 0.500
Li 0.500 0.000 0.500
Hg 0.500 0.500 0.000
Pt 0.500 0.500 0.500

Output
DFT formation energy: -0.34 eV/atom
total energy: -2.71 eV per atom
energy relative to the lowest polymorph listed for this composition: 0.0000 eV/atom
M_tot: 0.00 μB/cell



[25]
Sr2LiHgPt: optimized geometry, PBE.

abc: 5.845 5.845 4.816
angles: 90.00 90.00 90.00
Element x y z (fractional)
Sr 0.000 0.500 0.000
Sr 0.500 0.000 0.000
Li 0.000 0.000 0.500
Hg 0.500 0.500 0.500
Pt 0.000 0.000 0.000

Output
DFT formation energy: -0.45 eV/atom
total energy: -2.77 eV per atom
M_tot: 0.00 μB/cell